Entry 1:
# PBE MgZnCl2, relaxed
# Size of the total moment ... 0.00 μB/atom
# Formation energy (no corrections) ... -0.569 eV/atom
# Total DFT energy (no corrections) ... -2.21 eV per atom
data_MgZnCl2
_chemical_formula_sum 'Mg2 Zn2 Cl4'
_cell_length_a 6.707
_cell_length_b 7.661
_cell_length_c 5.049
_cell_angle_alpha 90.00
_cell_angle_beta 130.48
_cell_angle_gamma 90.00
_symmetry_space_group_name_H-M 'C 1 2/m 1'
_symmetry_Int_Tables_number 12
_symmetry_space_group_name_Hall '-C 2y'
loop_
_atom_site_label
_atom_site_fract_x
_atom_site_fract_y
_atom_site_fract_z
Mg1 0.000 0.000 0.000
Zn1 0.000 0.500 0.000
Cl1 0.250 0.250 0.500

Entry 2:
# PBE MgZnCl2, relaxed
# Size of the total moment ... 0.00 μB/atom
# Formation energy (no corrections) ... -0.504 eV/atom
# Total DFT energy (no corrections) ... -2.14 eV per atom
data_MgZnCl2
_chemical_formula_sum 'Mg2 Zn2 Cl4'
_cell_length_a 3.905
_cell_length_b 3.905
_cell_length_c 11.877
_cell_angle_alpha 90.00
_cell_angle_beta 90.00
_cell_angle_gamma 90.00
_symmetry_space_group_name_H-M 'I -4 m 2'
_symmetry_Int_Tables_number 119
_symmetry_space_group_name_Hall 'I -4 -2'
loop_
_atom_site_label
_atom_site_fract_x
_atom_site_fract_y
_atom_site_fract_z
Mg1 0.000 0.000 0.000
Zn1 0.000 0.500 0.750
Cl1 0.000 0.000 0.500
Cl2 0.000 0.500 0.250

Entry 3:
# PBE MgZnCl2, relaxed
# Size of the total moment ... 0.00 μB/atom
# Formation energy (no corrections) ... -1.009 eV/atom
# Total DFT energy (no corrections) ... -2.65 eV per atom
data_MgZnCl2
_chemical_formula_sum 'Mg1 Zn1 Cl2'
_cell_length_a 5.425
_cell_length_b 3.479
_cell_length_c 5.865
_cell_angle_alpha 90.00
_cell_angle_beta 112.24
_cell_angle_gamma 90.00
_symmetry_space_group_name_H-M 'P 1 m 1'
_symmetry_Int_Tables_number 6
_symmetry_space_group_name_Hall 'P -2y'
loop_
_atom_site_label
_atom_site_fract_x
_atom_site_fract_y
_atom_site_fract_z
Mg1 0.000 0.000 0.000
Zn1 0.293 0.500 0.804
Cl1 0.564 0.000 0.665
Cl2 0.931 0.500 0.258

Entry 4:
# PBE MgZnCl2, relaxed
# Size of the total moment ... 0.00 μB/atom
# Formation energy (no corrections) ... -0.861 eV/atom
# Total DFT energy (no corrections) ... -2.50 eV per atom
data_MgZnCl2
_chemical_formula_sum 'Mg2 Zn2 Cl4'
_cell_length_a 3.523
_cell_length_b 6.519
_cell_length_c 9.240
_cell_angle_alpha 90.00
_cell_angle_beta 90.00
_cell_angle_gamma 90.00
_symmetry_space_group_name_H-M 'C m m 2'
_symmetry_Int_Tables_number 35
_symmetry_space_group_name_Hall 'C 2 -2'
loop_
_atom_site_label
_atom_site_fract_x
_atom_site_fract_y
_atom_site_fract_z
Mg1 0.000 0.000 0.000
Zn1 0.000 0.500 0.245
Cl1 0.000 0.000 0.413
Cl2 0.000 0.500 0.826

Entry 5:
# PBE Mg5ZnCl12, relaxed
# Size of the total moment ... 0.00 μB/atom
# Formation energy (no corrections) ... -1.726 eV/atom
# Total DFT energy (no corrections) ... -3.47 eV per atom
data_Mg5ZnCl12
_chemical_formula_sum 'Mg10 Zn2 Cl24'
_cell_length_a 6.332
_cell_length_b 10.975
_cell_length_c 13.074
_cell_angle_alpha 90.00
_cell_angle_beta 90.09
_cell_angle_gamma 90.00
_symmetry_space_group_name_H-M 'C 1 2/m 1'
_symmetry_Int_Tables_number 12
_symmetry_space_group_name_Hall '-C 2y'
loop_
_atom_site_label
_atom_site_fract_x
_atom_site_fract_y
_atom_site_fract_z
Mg1 0.000 0.000 0.000
Mg2 0.000 0.167 0.500
Mg3 0.000 0.333 0.000
Zn1 0.000 0.500 0.500
Cl1 0.165 0.335 0.605
Cl2 0.166 0.167 0.894
Cl3 0.167 0.500 0.895
Cl4 0.171 0.000 0.605

Entry 6:
# PBE MgZn3Cl, relaxed
# Size of the total moment ... 0.00 μB/atom
# Formation energy (no corrections) ... 0.271 eV/atom
# Total DFT energy (no corrections) ... -1.18 eV per atom
data_MgZn3Cl
_chemical_formula_sum 'Mg1 Zn3 Cl1'
_cell_length_a 5.264
_cell_length_b 5.264
_cell_length_c 5.264
_cell_angle_alpha 90.00
_cell_angle_beta 90.00
_cell_angle_gamma 90.00
_symmetry_space_group_name_H-M 'P m -3 m'
_symmetry_Int_Tables_number 221
_symmetry_space_group_name_Hall '-P 4 2 3'
loop_
_atom_site_label
_atom_site_fract_x
_atom_site_fract_y
_atom_site_fract_z
Mg1 0.000 0.000 0.000
Zn1 0.000 0.000 0.500
Cl1 0.500 0.500 0.500

Entry 7:
# PBE Mg2ZnCl, relaxed
# Size of the total moment ... 0.00 μB/atom
# Formation energy (no corrections) ... -0.300 eV/atom
# Total DFT energy (no corrections) ... -1.88 eV per atom
data_Mg2ZnCl
_chemical_formula_sum 'Mg4 Zn2 Cl2'
_cell_length_a 6.371
_cell_length_b 8.039
_cell_length_c 3.369
_cell_angle_alpha 90.00
_cell_angle_beta 105.53
_cell_angle_gamma 90.00
_symmetry_space_group_name_H-M 'C 1 2/m 1'
_symmetry_Int_Tables_number 12
_symmetry_space_group_name_Hall '-C 2y'
loop_
_atom_site_label
_atom_site_fract_x
_atom_site_fract_y
_atom_site_fract_z
Mg1 0.250 0.250 0.000
Zn1 0.000 0.000 0.500
Cl1 0.000 0.500 0.500

Entry 8:
# PBE Mg2ZnCl, relaxed
# Size of the total moment ... 0.00 μB/atom
# Formation energy (no corrections) ... -0.409 eV/atom
# Total DFT energy (no corrections) ... -1.99 eV per atom
data_Mg2ZnCl
_chemical_formula_sum 'Mg2 Zn1 Cl1'
_cell_length_a 3.212
_cell_length_b 5.138
_cell_length_c 5.149
_cell_angle_alpha 90.00
_cell_angle_beta 90.10
_cell_angle_gamma 90.00
_symmetry_space_group_name_H-M 'P 1 m 1'
_symmetry_Int_Tables_number 6
_symmetry_space_group_name_Hall 'P -2y'
loop_
_atom_site_label
_atom_site_fract_x
_atom_site_fract_y
_atom_site_fract_z
Mg1 0.000 0.000 0.000
Mg2 0.001 0.500 0.500
Zn1 0.501 0.500 0.000
Cl1 0.006 0.000 0.500